VASP calculation (GGA-PBE) on crystalline Tm2BrO3 at its relaxed geometry.

Cell lengths 12.503, 3.747, 9.223 Å; angles 90.00, 113.79, 90.00 degrees
Space group C2/m (No. 12)
Asymmetric unit:
Tm: 0.019 0.000 0.266 x4
Tm: 0.160 0.500 0.065 x4
Br: 0.121 0.500 0.585 x4
O: 0.013 0.500 0.153 x4
O: 0.157 0.000 0.915 x4
O: 0.186 0.000 0.235 x4

Output
As for the uncorrected formation energy: -2.86 eV/atom. The volume is 16.47 A^3/atom. For the raw total energy, the calculation gives -7.106 eV/atom.